(1)
! CdSb2PbI (GGA-PBE, relaxed); values from VASP
&SYSTEM
  ibrav = 0, nat = 5, ntyp = 4
/
ATOMIC_SPECIES
Cd 112.41 Cd.upf
Sb 121.76 Sb.upf
Pb 207.20 Pb.upf
I 126.90 I.upf
ATOMIC_POSITIONS angstrom
Cd 0.0000 0.0000 0.0000
Sb 0.0000 2.9780 3.0993
Sb 2.9780 0.0000 3.0993
Pb 2.9780 2.9780 3.0993
I 2.9780 2.9780 0.0000
CELL_PARAMETERS angstrom
5.9560 0.0000 0.0000
0.0000 5.9560 0.0000
0.0000 0.0000 6.1986
! Total moment, Bohr magnetons per cell: 1.84
! Energy relative to the elements, uncorrected, eV per atom: 0.63
! Space group: P4/mmm (123)
! Offset from the most stable computed form, meV/atom: 178

(2)
! CdSbPbI2 (GGA-PBE, relaxed); values from VASP
&SYSTEM
  ibrav = 0, nat = 5, ntyp = 4
/
ATOMIC_SPECIES
Cd 112.41 Cd.upf
Sb 121.76 Sb.upf
Pb 207.20 Pb.upf
I 126.90 I.upf
ATOMIC_POSITIONS angstrom
Cd 0.0000 0.0000 0.0000
Sb 3.1231 3.1231 0.0000
Pb 3.1231 3.1231 3.0851
I 0.0000 3.1231 3.0851
I 3.1231 0.0000 3.0851
CELL_PARAMETERS angstrom
6.2462 0.0000 0.0000
0.0000 6.2462 0.0000
0.0000 0.0000 6.1703
! Total moment, Bohr magnetons per cell: 1.86
! Energy relative to the elements, uncorrected, eV per atom: 0.24
! Space group: P4/mmm (123)
! Offset from the most stable computed form, meV/atom: 36

(3)
! CdSb2PbI (GGA-PBE, relaxed); values from VASP
&SYSTEM
  ibrav = 0, nat = 5, ntyp = 4
/
ATOMIC_SPECIES
Cd 112.41 Cd.upf
Sb 121.76 Sb.upf
Pb 207.20 Pb.upf
I 126.90 I.upf
ATOMIC_POSITIONS angstrom
Cd 0.0000 0.0000 0.0000
Sb 0.0000 2.7537 0.0000
Sb 2.7537 0.0000 0.0000
Pb 2.7537 2.7537 3.0049
I 0.0000 0.0000 3.0049
CELL_PARAMETERS angstrom
5.5074 0.0000 0.0000
0.0000 5.5074 0.0000
0.0000 0.0000 6.0097
! Total moment, Bohr magnetons per cell: 0.46
! Energy relative to the elements, uncorrected, eV per atom: 0.45
! Space group: P4/mmm (123)
! Offset from the most stable computed form, meV/atom: 0

(4)
! CdSbPbI2 (GGA-PBE, relaxed); values from VASP
&SYSTEM
  ibrav = 0, nat = 5, ntyp = 4
/
ATOMIC_SPECIES
Cd 112.41 Cd.upf
Sb 121.76 Sb.upf
Pb 207.20 Pb.upf
I 126.90 I.upf
ATOMIC_POSITIONS angstrom
Cd 0.0000 0.0000 0.0000
Sb 0.0000 0.0000 2.8774
Pb 2.8780 2.8780 2.8774
I 0.0000 2.8780 0.0000
I 2.8780 0.0000 0.0000
CELL_PARAMETERS angstrom
5.7560 0.0000 0.0000
0.0000 5.7560 0.0000
0.0000 0.0000 5.7548
! Total moment, Bohr magnetons per cell: 0.00
! Energy relative to the elements, uncorrected, eV per atom: 0.20
! Space group: P4/mmm (123)
! Offset from the most stable computed form, meV/atom: 0

(5)
! Sc2CdPbI (GGA-PBE, relaxed); values from VASP
&SYSTEM
  ibrav = 0, nat = 5, ntyp = 4
/
ATOMIC_SPECIES
Sc 44.96 Sc.upf
Cd 112.41 Cd.upf
Pb 207.20 Pb.upf
I 126.90 I.upf
ATOMIC_POSITIONS angstrom
Sc 0.0000 2.7808 0.0000
Sc 2.7808 0.0000 0.0000
Cd 0.0000 0.0000 3.1415
Pb 2.7808 2.7808 0.0000
I 2.7808 2.7808 3.1415
CELL_PARAMETERS angstrom
5.5616 0.0000 0.0000
0.0000 5.5616 0.0000
0.0000 0.0000 6.2831
! Total moment, Bohr magnetons per cell: 0.00
! Energy relative to the elements, uncorrected, eV per atom: 0.47
! Space group: P4/mmm (123)

(6)
! CdPb2SeI (GGA-PBE, relaxed); values from VASP
&SYSTEM
  ibrav = 0, nat = 5, ntyp = 4
/
ATOMIC_SPECIES
Cd 112.41 Cd.upf
Pb 207.20 Pb.upf
Se 78.96 Se.upf
I 126.90 I.upf
ATOMIC_POSITIONS angstrom
Cd 0.0000 0.0000 0.0000
Pb 0.0000 2.9087 0.0000
Pb 2.9087 0.0000 0.0000
Se 2.9087 2.9087 2.7328
I 0.0000 0.0000 2.7328
CELL_PARAMETERS angstrom
5.8174 0.0000 0.0000
0.0000 5.8174 0.0000
0.0000 0.0000 5.4656
! Total moment, Bohr magnetons per cell: 0.00
! Energy relative to the elements, uncorrected, eV per atom: 0.37
! Space group: P4/mmm (123)